# SnSbP

A relaxed structure of SnSbP (PBE, Alexandria).

abc: 8.3880 5.6034 7.1184
angles: 90.00 96.34 90.00
Closest atoms and distances in Å follow each position.
Space group Cm (No. 8)
Unique sites:
Sn 0.0000 0.0000 0.0000  3 P 2.70-2.81, 1 Sb 2.98
Sn 0.0949 0.5000 0.3901  2 P 2.89-2.91, 3 Sb 3.01-3.05
Sb 0.2624 0.0000 0.7319  3 P 2.68-2.87
Sb 0.4551 0.5000 0.4097  4 Sn 2.98-3.05, 1 Sb 3.26
P 0.0244 0.5000 0.9837  1 P 2.20
P 0.2118 0.5000 0.7901  1 P 2.20

Computed properties:
excess energy over the best structure of this formula in the dataset: 26.4 meV per atom
magnetization: 0.0 μB/f.u.
density of states at the Fermi level: 0.338 states/eV/atom
theoretical density: 5422 kg/m3